Compound: SrLa2TlPd
Source: Alexandria
Functional: PBE-GGA
Structure: optimized geometry

Cell lengths 5.629, 5.629, 5.892 Å; angles 90.00, 90.00, 90.00 degrees
Fractional positions:
Sr (0.000, 0.000, 0.000)
La (0.000, 0.500, 0.500)
La (0.500, 0.000, 0.500)
Tl (0.500, 0.500, 0.000)
Pd (0.000, 0.000, 0.500)

The value obtained for the formation energy from the elements is -258.4 meV/atom. The magnetic moment is 0.00 μB/atom. Its space group is P4/mmm (123). The density of states at the Fermi level is 1.449 states/eV per atom.